# Mg3Br | Alexandria | PBE | relaxed
# * excess energy over the best structure of this formula in the dataset: 46 meV/atom
# * DOS at the Fermi energy: 1.581 states/eV per cell
# * calculated volume: 24.4 Å³/atom
data_Mg3Br
_cell_length_a 3.440
_cell_length_b 3.440
_cell_length_c 8.236
_cell_angle_alpha 90.00
_cell_angle_beta 90.00
_cell_angle_gamma 90.00
_space_group_name_H-M_alt 'P 4/m m m'
_space_group_IT_number 123
_space_group_name_Hall '-P 4 2'
loop_
_atom_site_label
_atom_site_fract_x
_atom_site_fract_y
_atom_site_fract_z
Mg1 0.000 0.000 0.000
Mg2 0.500 0.500 0.244
Br1 0.000 0.000 0.500